A relaxed CeGa2CuPt5 crystal, computed with PBE.

```
9
Lattice="-2.632 -0.395 3.008 2.038 -3.180 1.365 6.207 6.687 6.312" Properties=species:S:1:pos:R:3 pbc="T T T"
Pt -0.421 0.766 2.414
Pt 3.996 5.526 6.906
Pt 1.914 -0.626 1.593
Pt 2.806 1.556 5.343
Pt 6.331 4.133 6.085
Ga 4.187 3.044 6.747
Ga 1.425 0.068 3.938
Cu 0.000 0.000 0.000
Ce 3.104 3.344 3.156
```

Calculated values
Space group: No. 123
VASP energy (eV/atom): -5.58
Fermi-level density of states (states/eV per cell): 8.80
E_form (eV/atom): -0.435
Total magnetization (μB per formula unit): 0.9